Compound: Li6V3P8O29
Source: Alexandria
Functional: PBE+U
Structure: relaxed

Summary:
Energy relative to the lowest polymorph listed for this composition = 4.2 meV per atom

Cell: 9.8322 9.8322 14.1035 Å, 91.75 91.75 60.00°
Fractional positions:
Li (0.0174, 0.9826, 0.5000)
Li (0.0195, 0.5821, 0.4635)
Li (0.0520, 0.4650, 0.9413)
Li (0.3813, 0.9085, 0.8348)
Li (0.4525, 0.6003, 0.9597)
Li (0.4650, 0.0520, 0.4413)
Li (0.5821, 0.0195, 0.9635)
Li (0.6003, 0.4525, 0.4597)
Li (0.6215, 0.7392, 0.4061)
Li (0.7392, 0.6215, 0.9061)
Li (0.9085, 0.3813, 0.3348)
Li (0.9826, 0.0174, 0.0000)
V (0.1148, 0.2647, 0.1566)
V (0.1387, 0.6769, 0.6454)
V (0.2415, 0.7001, 0.1479)
V (0.2647, 0.1148, 0.6566)
V (0.6769, 0.1387, 0.1454)
V (0.7001, 0.2415, 0.6479)
P (0.0032, 0.6142, 0.2508)
P (0.0069, 0.4570, 0.7379)
P (0.0089, 0.0352, 0.2652)
P (0.0352, 0.0089, 0.7652)
P (0.3364, 0.3681, 0.0315)
P (0.3536, 0.9272, 0.0544)
P (0.3681, 0.3364, 0.5315)
P (0.3838, 0.7763, 0.5602)
P (0.4570, 0.0069, 0.2379)
P (0.4765, 0.5932, 0.7393)
P (0.5932, 0.4765, 0.2393)
P (0.6142, 0.0032, 0.7508)
P (0.7763, 0.3838, 0.0602)
P (0.7764, 0.8947, 0.5658)
P (0.8947, 0.7764, 0.0658)
P (0.9272, 0.3536, 0.5544)
O (0.9996, 0.1920, 0.2362)
O (0.0112, 0.0224, 0.3705)
O (0.0160, 0.4493, 0.2408)
O (0.0224, 0.0112, 0.8705)
O (0.0384, 0.8603, 0.7173)
O (0.0478, 0.7868, 0.0655)
O (0.0593, 0.5762, 0.7229)
O (0.0753, 0.1932, 0.5716)
O (0.1519, 0.2888, 0.7358)
O (0.1529, 0.8926, 0.2161)
O (0.1611, 0.6046, 0.2291)
O (0.1920, 0.9996, 0.7362)
O (0.1932, 0.0753, 0.0716)
O (0.2122, 0.3627, 0.0945)
O (0.2202, 0.5022, 0.5506)
O (0.2223, 0.7841, 0.5626)
O (0.2834, 0.3816, 0.9296)
O (0.2888, 0.1519, 0.2358)
O (0.3260, 0.5831, 0.7223)
O (0.3315, 0.7826, 0.0489)
O (0.3492, 0.5161, 0.0656)
O (0.3553, 0.9465, 0.5617)
O (0.3627, 0.2122, 0.5945)
O (0.3816, 0.2834, 0.4296)
O (0.4328, 0.6230, 0.2277)
O (0.4371, 0.9352, 0.9683)
O (0.4493, 0.0160, 0.7408)
O (0.4653, 0.9004, 0.1467)
O (0.4753, 0.6753, 0.8325)
O (0.4787, 0.7042, 0.6578)
O (0.4863, 0.9174, 0.3273)
O (0.4874, 0.6804, 0.4797)
O (0.5022, 0.2202, 0.0506)
O (0.5161, 0.3492, 0.5656)
O (0.5762, 0.0593, 0.2229)
O (0.5831, 0.3260, 0.2223)
O (0.6046, 0.1611, 0.7291)
O (0.6230, 0.4328, 0.7277)
O (0.6677, 0.8867, 0.4918)
O (0.6753, 0.4753, 0.3325)
O (0.6804, 0.4874, 0.9797)
O (0.6837, 0.9377, 0.8455)
O (0.7042, 0.4787, 0.1578)
O (0.7202, 0.8791, 0.6694)
O (0.7562, 0.9465, 0.0575)
O (0.7826, 0.3315, 0.5489)
O (0.7841, 0.2223, 0.0626)
O (0.7868, 0.0478, 0.5655)
O (0.8603, 0.0384, 0.2173)
O (0.8791, 0.7202, 0.1694)
O (0.8867, 0.6677, 0.9918)
O (0.8926, 0.1529, 0.7161)
O (0.9004, 0.4653, 0.6467)
O (0.9174, 0.4863, 0.8273)
O (0.9352, 0.4371, 0.4683)
O (0.9377, 0.6837, 0.3455)
O (0.9465, 0.3553, 0.0617)
O (0.9465, 0.7562, 0.5575)